First-principles (GGA-PBE) data for crystalline CsSr2CdPt at its relaxed geometry, as listed in Alexandria.

The calculation puts the energy relative to the elements at -0.287 eV/atom. Its total energy is -12.606 eV/cell. As for the space group: P4/mmm, No. 123.

```
5
Lattice="6.018 0.000 0.000 0.000 6.018 0.000 0.000 0.000 5.558" Properties=species:S:1:pos:R:3 pbc="T T T"
Cd 0.000 0.000 2.779
Sr 3.009 0.000 0.000
Sr 0.000 3.009 0.000
Pt 0.000 0.000 0.000
Cs 3.009 3.009 2.779
```



First-principles (GGA-PBE) data for crystalline Dy2SnHPd6 at its relaxed geometry, as listed in Alexandria.

Its total energy is -54.405 eV/cell. As for the space group: P-1, No. 2.

```
10
Lattice="5.667 0.009 -0.042 -0.031 7.093 -0.897 2.801 2.879 4.007" Properties=species:S:1:pos:R:3 pbc="T T T"
H 2.818 3.551 -0.470
Pd 6.745 7.994 3.209
Pd 1.692 1.986 -0.141
Pd 3.029 3.844 1.525
Pd 5.408 6.137 1.543
Pd 7.272 5.243 3.522
Pd 1.166 4.737 -0.454
Sn 0.000 0.000 0.000
Dy 5.801 3.013 2.034
Dy 2.636 6.967 1.034
```



First-principles (GGA-PBE) data for crystalline HoZrSe at its relaxed geometry, as listed in Alexandria.

The formation energy (no corrections) comes out at -929.5 meV per atom. Its total energy is -38.798 eV/cell. As for the space group: P-6m2, No. 187.

```
6
Lattice="-2.434 -1.579 2.166 2.562 -1.994 -1.600 7.736 1.869 10.057" Properties=species:S:1:pos:R:3 pbc="T T T"
Se 3.877 0.095 7.453
Se 1.725 -0.425 4.655
Zr 4.466 -0.303 4.799
Zr -0.172 -2.953 0.681
Ho 6.784 0.257 7.812
Ho 2.148 -0.863 1.785
```



First-principles (GGA-PBE) data for crystalline Lu2TlP at its relaxed geometry, as listed in Alexandria.

The calculation puts the energy relative to the elements at -0.927 eV/atom. Its total energy is -20.526 eV/cell. As for the space group: R-3m, No. 166.

```
4
Lattice="-1.272 -1.693 -3.173 -2.793 -2.590 0.208 -6.685 4.248 -1.880" Properties=species:S:1:pos:R:3 pbc="T T T"
Lu -8.326 0.254 -3.677
Lu -2.424 -0.289 -1.167
Tl -5.375 -0.018 -2.422
P 0.000 0.000 0.000
```



First-principles (GGA-PBE) data for crystalline NpCdSb at its relaxed geometry, as listed in Alexandria.

The formation energy (no corrections) comes out at 29.3 meV per atom. Its total energy is -17.890 eV/cell. As for the space group: P-6m2, No. 187.

```
3
Lattice="3.127 0.000 0.000 0.000 5.248 0.000 0.000 -2.624 4.545" Properties=species:S:1:pos:R:3 pbc="T T T"
Sb 0.519 0.000 0.000
Np 2.084 2.624 1.515
Cd 0.524 0.000 3.030
```



First-principles (GGA-PBE) data for crystalline NaLiSb at its relaxed geometry, as listed in Alexandria.

The formation energy (no corrections) comes out at -441.3 meV per atom. Its total energy is -17.359 eV/cell. As for the space group: Imm2, No. 44.

```
6
Lattice="5.882 -0.763 -1.024 2.425 4.166 -1.024 -1.169 -0.796 5.854" Properties=species:S:1:pos:R:3 pbc="T T T"
Li 4.332 3.489 -0.101
Li 6.585 2.742 2.210
Sb 3.963 0.693 -0.491
Sb 0.187 0.758 2.694
Na 7.073 1.674 -0.988
Na 3.406 1.781 2.626
```